No. 1
# TaTl2Zn, optimized geometry, DFT GGA-PBE
data_TaTl2Zn
_chemical_formula_sum 'Ta1 Tl2 Zn1'
_cell_length_a 5.319
_cell_length_b 5.319
_cell_length_c 3.041
_cell_angle_alpha 90.00
_cell_angle_beta 90.00
_cell_angle_gamma 90.00
_space_group_name_H-M_alt 'P 4/m m m'
_space_group_IT_number 123
_space_group_name_Hall '-P 4 2'
loop_
_atom_site_label
_atom_site_fract_x
_atom_site_fract_y
_atom_site_fract_z
Ta1 0.000 0.000 0.000
Tl1 0.000 0.500 0.500
Zn1 0.500 0.500 0.000
# Calculated formation energy   0.5280 eV/atom
# Density of states at the Fermi level   0.560 states/eV per atom
# Polymorph energy (0 for the lowest one)   0.176 eV/atom

No. 2
# Ac2ZnHg4, optimized geometry, DFT GGA-PBE
data_Ac2ZnHg4
_chemical_formula_sum 'Ac4 Zn2 Hg8'
_cell_length_a 9.723
_cell_length_b 5.683
_cell_length_c 8.453
_cell_angle_alpha 90.00
_cell_angle_beta 120.95
_cell_angle_gamma 90.00
_space_group_name_H-M_alt 'C 1 2/m 1'
_space_group_IT_number 12
loop_
_space_group_symop_operation_xyz
'x,y,z'
'-x,-y,-z'
'-x,y,-z'
'x,-y,z'
'x+1/2,y+1/2,z'
'-x+1/2,-y+1/2,-z'
'-x+1/2,y+1/2,-z'
'x+1/2,-y+1/2,z'
loop_
_atom_site_label
_atom_site_fract_x
_atom_site_fract_y
_atom_site_fract_z
Ac1 0.240 0.000 0.305
Zn1 0.000 0.000 0.500
Hg1 0.036 0.500 0.217
Hg2 0.177 0.000 0.874
# Calculated formation energy   -0.3400 eV/atom
# Density of states at the Fermi level   0.477 states/eV per atom
# Polymorph energy (0 for the lowest one)   0.000 eV/atom

No. 3
# Ir2Os3Ru2, optimized geometry, DFT GGA-PBE
data_Ir2Os3Ru2
_chemical_formula_sum 'Ir4 Os6 Ru4'
_cell_length_a 11.854
_cell_length_b 2.723
_cell_length_c 6.670
_cell_angle_alpha 90.00
_cell_angle_beta 111.90
_cell_angle_gamma 90.00
_space_group_name_H-M_alt 'C 1 2/m 1'
_space_group_IT_number 12
loop_
_space_group_symop_operation_xyz
'x,y,z'
'-x,-y,-z'
'-x,y,-z'
'x,-y,z'
'x+1/2,y+1/2,z'
'-x+1/2,-y+1/2,-z'
'-x+1/2,y+1/2,-z'
'x+1/2,-y+1/2,z'
loop_
_atom_site_label
_atom_site_fract_x
_atom_site_fract_y
_atom_site_fract_z
Ir1 0.141 0.000 0.429
Os1 0.000 0.000 0.000
Os2 0.072 0.500 0.718
Ru1 0.215 0.500 0.139
# Calculated formation energy   0.0550 eV/atom
# Density of states at the Fermi level   0.938 states/eV per atom

No. 4
# SrPmAgSe3, optimized geometry, DFT GGA-PBE
data_SrPmAgSe3
_chemical_formula_sum 'Sr2 Pm2 Ag2 Se6'
_cell_length_a 8.634
_cell_length_b 4.234
_cell_length_c 9.390
_cell_angle_alpha 90.00
_cell_angle_beta 103.53
_cell_angle_gamma 90.00
_space_group_name_H-M_alt 'P 1 21/m 1'
_space_group_IT_number 11
loop_
_space_group_symop_operation_xyz
'x,y,z'
'-x,-y,-z'
'-x,y+1/2,-z'
'x,-y+1/2,z'
loop_
_atom_site_label
_atom_site_fract_x
_atom_site_fract_y
_atom_site_fract_z
Sr1 0.193 0.250 0.239
Pm1 0.324 0.750 0.831
Ag1 0.090 0.250 0.585
Se1 0.096 0.250 0.871
Se2 0.251 0.750 0.508
Se3 0.434 0.750 0.158
# Formation energy from raw total energies   -1.515 eV per atom

No. 5
# Nb14AlW, optimized geometry, DFT GGA-PBE
data_Nb14AlW
_chemical_formula_sum 'Nb14 Al1 W1'
_cell_length_a 6.589
_cell_length_b 6.589
_cell_length_c 6.625
_cell_angle_alpha 90.00
_cell_angle_beta 90.00
_cell_angle_gamma 90.00
_space_group_name_H-M_alt 'P 4/m m m'
_space_group_IT_number 123
_space_group_name_Hall '-P 4 2'
loop_
_atom_site_label
_atom_site_fract_x
_atom_site_fract_y
_atom_site_fract_z
Nb1 0.000 0.000 0.000
Nb2 0.000 0.500 0.000
Nb3 0.000 0.500 0.500
Nb4 0.246 0.246 0.251
Nb5 0.500 0.500 0.000
Al1 0.500 0.500 0.500
W1 0.000 0.000 0.500
# Calculated formation energy   -0.0562 eV/atom
# Density of states at the Fermi level   1.142 states/eV per atom

No. 6
# HgAu5, optimized geometry, DFT GGA-PBE
data_HgAu5
_chemical_formula_sum 'Hg2 Au10'
_cell_length_a 5.194
_cell_length_b 8.714
_cell_length_c 5.278
_cell_angle_alpha 90.00
_cell_angle_beta 110.12
_cell_angle_gamma 90.00
_space_group_name_H-M_alt 'P 1 21/m 1'
_space_group_IT_number 11
loop_
_space_group_symop_operation_xyz
'x,y,z'
'-x,-y,-z'
'-x,y+1/2,-z'
'x,-y+1/2,z'
loop_
_atom_site_label
_atom_site_fract_x
_atom_site_fract_y
_atom_site_fract_z
Hg1 0.250 0.250 0.001
Au1 0.250 0.081 0.500
Au2 0.250 0.584 0.000
Au3 0.250 0.750 0.499
# Calculated formation energy   0.0357 eV/atom
# Density of states at the Fermi level   0.206 states/eV per atom
# Polymorph energy (0 for the lowest one)   0.000 eV/atom

No. 7
# LaAlPd3, optimized geometry, DFT GGA-PBE
data_LaAlPd3
_chemical_formula_sum 'La2 Al2 Pd6'
_cell_length_a 6.080
_cell_length_b 6.634
_cell_length_c 5.161
_cell_angle_alpha 90.00
_cell_angle_beta 90.00
_cell_angle_gamma 90.00
_space_group_name_H-M_alt 'P b a m'
_space_group_IT_number 55
loop_
_space_group_symop_operation_xyz
'x,y,z'
'-x,-y,-z'
'-x,-y,z'
'x,y,-z'
'x+1/2,-y+1/2,-z'
'-x+1/2,y+1/2,z'
'-x+1/2,y+1/2,-z'
'x+1/2,-y+1/2,z'
loop_
_atom_site_label
_atom_site_fract_x
_atom_site_fract_y
_atom_site_fract_z
La1 0.000 0.000 0.000
Al1 0.000 0.500 0.500
Pd1 0.000 0.500 0.000
Pd2 0.148 0.166 0.500
# Calculated formation energy   -0.6309 eV/atom
# Density of states at the Fermi level   0.361 states/eV per atom
# Polymorph energy (0 for the lowest one)   0.122 eV/atom

No. 8
# TaZnRu, optimized geometry, DFT GGA-PBE
data_TaZnRu
_chemical_formula_sum 'Ta4 Zn4 Ru4'
_cell_length_a 6.020
_cell_length_b 6.020
_cell_length_c 6.020
_cell_angle_alpha 90.00
_cell_angle_beta 90.00
_cell_angle_gamma 90.00
_space_group_name_H-M_alt 'F -4 3 m'
_space_group_IT_number 216
_space_group_name_Hall 'F -4 2 3'
loop_
_atom_site_label
_atom_site_fract_x
_atom_site_fract_y
_atom_site_fract_z
Ta1 0.000 0.000 0.000
Zn1 0.000 0.000 0.500
Ru1 0.250 0.250 0.250
# Calculated formation energy   0.1933 eV/atom
# Density of states at the Fermi level   1.029 states/eV per atom
# Polymorph energy (0 for the lowest one)   0.431 eV/atom

no.,VASP energy (eV per atom)
1,-3.937
2,-1.868
3,-9.940
4,-4.805
5,-9.911
6,-2.746
7,-5.481
8,-7.274